TmPF | Alexandria | GGA-PBE | optimized geometry; V = 52 Å³ per cell; E = -5.970 eV per atom; polymorph energy (0 for the lowest one) = 288 meV/atom; crystal system = hexagonal; mass density = 6.98 g/cm³; raw formation energy = -2.052 eV per atom
1.0
-0.2459 4.0673 0.6576
-0.7751 0.5508 -3.6963
-2.8429 -0.5730 2.4812
P Tm F
1 1 1
direct
0.6667 0.6667 0.3333
0.1666 0.0000 0.0000
0.1667 0.3333 0.6667

***

YReF2 | Alexandria | GGA-PBE | optimized geometry; V = 137 Å³ per cell; E = -6.425 eV per atom; polymorph energy (0 for the lowest one) = 465 meV/atom; crystal system = tetragonal; mass density = 7.60 g/cm³; raw formation energy = -0.762 eV per atom
1.0
4.6999 0.0000 0.0000
0.0000 4.6999 0.0000
2.3499 2.3499 6.1943
Y Re F
2 2 4
direct
0.5000 0.5000 0.0000
0.2500 0.7500 0.5000
0.0000 0.0000 0.0000
0.7500 0.2500 0.5000
0.5838 0.1250 0.2500
0.1662 0.6250 0.2500
0.3750 0.4162 0.7500
0.8750 0.8338 0.7500

***

PmY2MgN | Alexandria | GGA-PBE | optimized geometry; V = 120 Å³ per cell; E = -6.207 eV per atom; crystal system = tetragonal; mass density = 4.98 g/cm³; raw formation energy = -0.688 eV per atom
1.0
5.0707 0.0000 0.0000
0.0000 4.8714 0.0000
0.0000 0.0000 4.8714
Pm Y Mg N
1 2 1 1
direct
0.5000 0.0000 0.0000
0.0000 0.0000 0.5000
0.0000 0.5000 0.0000
0.5000 0.5000 0.5000
0.0000 0.0000 0.0000

***

DyTh2CrN4 | Alexandria | GGA-PBE | optimized geometry; V = 246 Å³ per cell; E = -8.914 eV per atom; crystal system = orthorhombic; mass density = 9.90 g/cm³; raw formation energy = -1.118 eV per atom
1.0
3.4359 0.0000 0.0000
-1.7180 5.8892 0.0000
0.0000 0.0000 12.1731
Dy Th Cr N
2 4 2 8
direct
0.1093 0.2186 0.7500
0.8907 0.7814 0.2500
0.3669 0.7339 0.5516
0.6331 0.2661 0.0516
0.6331 0.2661 0.4484
0.3669 0.7339 0.9484
0.8394 0.6787 0.7500
0.1606 0.3213 0.2500
0.2775 0.5551 0.1339
0.7225 0.4449 0.6339
0.7225 0.4449 0.8661
0.2775 0.5551 0.3661
0.0000 0.0000 0.5000
0.0000 0.0000 0.0000
0.4414 0.8828 0.7500
0.5586 0.1172 0.2500

***

YSc2Ag2 | Alexandria | GGA-PBE | optimized geometry; V = 123 Å³ per cell; E = -4.887 eV per atom; polymorph energy (0 for the lowest one) = 293 meV/atom; crystal system = tetragonal; mass density = 5.32 g/cm³; energy relative to the elements = 0.08 eV/atom
1.0
-0.0586 1.6767 3.9129
2.0282 -3.4296 1.4999
6.9577 2.1313 1.5071
Y Sc Ag
1 2 2
direct
0.0000 0.0000 0.0000
0.3876 0.3876 0.2249
0.6124 0.6124 0.7751
0.7500 0.2500 0.5000
0.2500 0.7500 0.5000

***

Cs2MgTaBr6 | Alexandria | GGA-PBE | optimized geometry; V = 324 Å³ per cell; E = -3.645 eV per atom; crystal system = cubic; mass density = 4.86 g/cm³; raw formation energy = -1.126 eV per atom
1.0
7.7114 0.0000 0.0000
0.0000 7.7114 0.0000
3.8557 3.8557 5.4561
Cs Mg Br Ta
2 1 6 1
direct
0.7500 0.2500 0.5000
0.2500 0.7500 0.5000
0.5000 0.5000 0.0000
0.2498 0.2498 0.5004
0.7502 0.7502 0.4996
0.2502 0.2502 0.0000
0.7498 0.7498 0.0000
0.7498 0.2502 0.0000
0.2502 0.7498 0.0000
0.0000 0.0000 0.0000

***

Ta2Ti2Cu3O12 | Alexandria | GGA-PBE | optimized geometry; V = 212 Å³ per cell; E = -7.983 eV per atom; crystal system = monoclinic; mass density = 6.60 g/cm³; raw formation energy = -2.126 eV per atom
1.0
6.4788 -0.0031 0.0001
2.1262 6.1200 0.0001
4.3002 3.0568 5.3345
Ta Ti Cu O
2 2 3 12
direct
0.5000 0.0000 0.0000
0.0000 0.5000 0.0000
0.5000 0.0000 0.5000
0.0000 0.5000 0.5000
0.5000 0.5000 0.0000
0.0000 0.0000 0.5000
0.5000 0.5000 0.5000
0.1843 0.1843 0.5043
0.8157 0.8157 0.4957
0.8206 0.8206 0.8696
0.1794 0.1794 0.1304
0.5073 0.8714 0.3108
0.4927 0.1286 0.6892
0.8714 0.5073 0.3108
0.1286 0.4927 0.6892
0.3104 0.6889 0.1823
0.6896 0.3111 0.8177
0.3111 0.6896 0.8177
0.6889 0.3104 0.1823

***

SrCdTc4 | Alexandria | GGA-PBE | optimized geometry; V = 111 Å³ per cell; E = -6.844 eV per atom; crystal system = cubic; mass density = 8.86 g/cm³; energy relative to the elements = 0.50 eV/atom
1.0
-5.2248 -0.8611 1.0276
-2.3753 2.4813 4.1589
-3.6050 3.9115 -0.8946
Sr Cd Tc
1 1 4
direct
0.0000 0.0000 0.0000
0.7500 0.7500 0.7500
0.8729 0.3757 0.3757
0.3757 0.3757 0.8729
0.3757 0.8729 0.3757
0.3757 0.3757 0.3757

***

| no. | density of states at the Fermi level (states/eV/atom) |
| --- | --- |
| 1 | 0.72 |
| 2 | 0.00 |
| 3 | 1.03 |
| 4 | 0.43 |
| 5 | 1.29 |
| 6 | 0.23 |
| 7 | 0.11 |
| 8 | 0.77 |